## Be2CrPb (GGA-PBEsol)

Data for a geometry-optimized Be2CrPb structure.

Output
total magnetization: 2.0 μB/f.u.
calculated total energy: -0.1810 hartree per atom
energy of formation from the pure elements: 245 kJ/mol of formula units
V: 13.94 Å³/atom

Lattice parameters (Å, degrees): 3.038 3.038 6.041 90.00 90.00 90.00
Space group P4mm (No. 99)
Unique sites:
Be: 0.000 0.000 0.000 x1
Be: 0.500 0.500 0.161 x1
Cr: 0.000 0.000 0.365 x1
Pb: 0.500 0.500 0.681 x1